# 1
Compound: LaPmThZn
Source: Alexandria via LeMat-Bulk
Functional: PBE
Structure: optimized geometry

Lattice parameters (Å, degrees): 5.493 5.493 5.493 60.00 60.00 60.00
Fractional positions:
La: 0.000 0.000 0.000
Pm: 0.250 0.250 0.250
Th: 0.500 0.500 0.500
Zn: 0.750 0.750 0.750

***

# 2
Compound: LaPmThZn
Source: Alexandria via LeMat-Bulk
Functional: PBE
Structure: optimized geometry

Lattice parameters (Å, degrees): 3.650 3.650 8.820 90.00 90.00 90.00
Fractional positions:
La: 0.000 0.000 0.000
Pm: 0.000 0.000 0.438
Th: 0.500 0.500 0.717
Zn: 0.500 0.500 0.229

***

# 3
Compound: La2PmTi
Source: Alexandria via LeMat-Bulk
Functional: PBE
Structure: optimized geometry

Lattice parameters (Å, degrees): 12.366 12.366 12.366 15.74 15.74 15.74
Fractional positions:
La: 0.079 0.079 0.079
La: 0.921 0.921 0.921
Pm: 0.500 0.500 0.500
Ti: 0.000 0.000 0.000

***

Mass density for every record listed, in sequence, given in Mg/m³: 8.236 8.216 6.441.
E_tot for every record listed, in sequence, given in eV per atom: -4.487 -4.735 -5.179.
M_tot for every record listed, in sequence, given in μB/f.u.: 0.00 0.00 1.02.